Cs2TlCdCl6 | PBE-GGA | optimized geometry

- total magnetic moment (μB/cell) = 0.00
- formation energy (no corrections) (meV per atom) = -1376

Cell and atoms, written as CIF:
```
data_Cs2TlCdCl6
_space_group_name_H-M_alt 'I 4/m m m'
_space_group_IT_number 139
_space_group_name_Hall '-I 4 2'
_cell_length_a 7.7198
_cell_length_b 7.7198
_cell_length_c 10.9413
_cell_angle_alpha 90.00
_cell_angle_beta 90.00
_cell_angle_gamma 90.00
loop_
_atom_site_label
_atom_site_fract_x
_atom_site_fract_y
_atom_site_fract_z
_atom_site_occupancy
Cs1 0.0000 0.5000 0.2500 1
Tl1 0.0000 0.0000 0.0000 1
Cd1 0.0000 0.0000 0.5000 1
Cl1 0.0000 0.0000 0.2578 1
Cl2 0.2420 0.2420 0.5000 1
```

---

LaAgP3 | PBE-GGA | optimized geometry

- total magnetic moment (μB/cell) = 0.00
- ΔH_f (0 K) (eV/f.u.) = 0.45
- relative energy among the computed polymorphs (meV per atom) = 0

Cell and atoms, written as CIF:
```
data_LaAgP3
_space_group_name_H-M_alt 'P m -3 m'
_space_group_IT_number 221
_space_group_name_Hall '-P 4 2 3'
_cell_length_a 4.8281
_cell_length_b 4.8281
_cell_length_c 4.8281
_cell_angle_alpha 90.00
_cell_angle_beta 90.00
_cell_angle_gamma 90.00
loop_
_atom_site_label
_atom_site_fract_x
_atom_site_fract_y
_atom_site_fract_z
_atom_site_occupancy
La1 0.0000 0.0000 0.0000 1
Ag1 0.5000 0.5000 0.5000 1
P1 0.0000 0.5000 0.5000 1
```

---

LiGdScCo | PBE-GGA | optimized geometry

- total magnetic moment (μB/cell) = 28.62
- ΔH_f (0 K) (eV/f.u.) = -0.31

Cell and atoms, written as CIF:
```
data_LiGdScCo
_space_group_name_H-M_alt 'F -4 3 m'
_space_group_IT_number 216
_space_group_name_Hall 'F -4 2 3'
_cell_length_a 6.6914
_cell_length_b 6.6914
_cell_length_c 6.6914
_cell_angle_alpha 90.00
_cell_angle_beta 90.00
_cell_angle_gamma 90.00
loop_
_atom_site_label
_atom_site_fract_x
_atom_site_fract_y
_atom_site_fract_z
_atom_site_occupancy
Li1 0.0000 0.0000 0.0000 1
Gd1 0.2500 0.2500 0.7500 1
Sc1 0.2500 0.2500 0.2500 1
Co1 0.0000 0.0000 0.5000 1
```

---

BePtPb2 | PBE-GGA | optimized geometry

- total magnetic moment (μB/cell) = 0.00
- ΔH_f (0 K) (eV/f.u.) = 2.11

Cell and atoms, written as CIF:
```
data_BePtPb2
_space_group_name_H-M_alt 'F -4 3 m'
_space_group_IT_number 216
_space_group_name_Hall 'F -4 2 3'
_cell_length_a 6.9846
_cell_length_b 6.9846
_cell_length_c 6.9846
_cell_angle_alpha 90.00
_cell_angle_beta 90.00
_cell_angle_gamma 90.00
loop_
_atom_site_label
_atom_site_fract_x
_atom_site_fract_y
_atom_site_fract_z
_atom_site_occupancy
Be1 0.0000 0.0000 0.0000 1
Pt1 0.2500 0.2500 0.2500 1
Pb1 0.0000 0.0000 0.5000 1
Pb2 0.2500 0.2500 0.7500 1
```

---

Li4In4Sn | PBE-GGA | optimized geometry

- total magnetic moment (μB/cell) = 0.00
- ΔH_f (0 K) (eV/f.u.) = -2.04

Cell and atoms, written as CIF:
```
data_Li4In4Sn
_space_group_name_H-M_alt 'I 4/m m m'
_space_group_IT_number 139
_space_group_name_Hall '-I 4 2'
_cell_length_a 9.5062
_cell_length_b 9.5062
_cell_length_c 4.2987
_cell_angle_alpha 90.00
_cell_angle_beta 90.00
_cell_angle_gamma 90.00
loop_
_atom_site_label
_atom_site_fract_x
_atom_site_fract_y
_atom_site_fract_z
_atom_site_occupancy
Li1 0.1652 0.1652 0.0000 1
In1 0.0000 0.3275 0.5000 1
Sn1 0.0000 0.0000 0.5000 1
```